Entry 1:
4
Lattice="3.456 0.000 0.000 1.728 2.993 0.000 1.728 0.998 9.467" Properties=species:S:1:pos:R:3 comment="Nd2ZrN, relaxed, DFT PBE" e_form_raw_ev_per_atom=-0.343 vol_a3_per_fu=98 total_magnetization_mub_per_cell=0.00 final_energy_ev_per_atom=-6.9451 crystal_system=trigonal pbc="T T T"
Zr 0.000 0.000 0.000
Nd 1.728 0.998 6.169
Nd 5.184 2.993 3.299
N 3.456 1.995 4.734

---

Entry 2:
14
Lattice="-3.449 3.759 -4.374 -5.764 -2.220 2.647 4.631 2.854 3.957" Properties=species:S:1:pos:R:3 comment="NdZr2N4, relaxed, DFT PBE" e_form_raw_ev_per_atom=-1.226 e_above_lowest_polymorph_ev_per_atom=0.042 vol_a3_per_fu=108 total_magnetization_mub_per_cell=0.00 final_energy_ev_per_atom=-9.1067 crystal_system=orthorhombic pbc="T T T"
Zr -0.843 3.658 1.227
Zr -6.041 1.120 0.572
N -5.351 2.371 -1.144
Zr 0.881 1.778 3.413
N -2.468 3.723 -2.261
Nd -2.869 0.702 2.870
N -1.234 2.356 2.999
Nd 4.631 2.854 3.957
N -3.850 0.738 0.757
N -2.960 3.994 0.605
N -0.453 4.958 -0.544
N 1.273 3.320 1.849
Zr -3.159 2.230 -0.751
N -0.967 2.089 -0.360

---

Entry 3:
10
Lattice="-0.539 -4.144 -2.969 5.321 -2.499 -1.903 -0.179 -5.354 3.080" Properties=species:S:1:pos:R:3 comment="Nd4ZrN5, relaxed, DFT PBE" e_form_raw_ev_per_atom=-1.427 vol_a3_per_fu=162 total_magnetization_mub_per_cell=0.00 final_energy_ev_per_atom=-8.3518 crystal_system=tetragonal pbc="T T T"
N 1.339 -9.065 -0.899
N 4.074 -6.570 -0.451
Nd 3.735 -8.529 -2.071
Nd 0.866 -3.488 0.265
Zr -0.019 -0.149 -0.107
Nd 2.816 -5.055 -2.328
N -0.243 -1.868 -1.339
N 0.526 -5.456 -1.362
N 3.260 -2.962 -0.915
Nd 1.785 -6.962 0.522

---

Entry 4:
16
Lattice="-1.025 -5.043 -0.058 6.743 -1.351 -1.651 1.845 -0.466 7.920" Properties=species:S:1:pos:R:3 comment="Nd3ZrN4, relaxed, DFT PBE" e_form_raw_ev_per_atom=-1.364 e_above_lowest_polymorph_ev_per_atom=0.069 vol_a3_per_fu=148 total_magnetization_mub_per_cell=0.00 final_energy_ev_per_atom=-8.3833 crystal_system=orthorhombic pbc="T T T"
N 6.379 -1.876 2.592
Nd 1.898 -0.758 3.702
N 4.514 -3.877 0.971
Nd 5.837 -1.573 4.853
N 0.559 -3.286 -0.324
Nd 3.033 -3.635 5.340
Nd 2.120 -3.405 1.423
N 5.368 -4.092 4.635
N 1.229 -3.233 3.712
N 2.514 -0.848 1.303
Nd 5.126 -3.981 -1.429
Nd 4.904 -1.338 0.850
Zr 5.946 -4.067 2.564
N 5.801 -1.477 -1.438
N 3.505 -1.098 5.558
Zr 1.129 -0.429 -0.288

---

Entry 5:
16
Lattice="-4.938 -4.144 2.581 0.929 -3.097 6.145 -3.744 2.100 5.548" Properties=species:S:1:pos:R:3 comment="Nd5Zr3N8, relaxed, DFT PBE" e_form_raw_ev_per_atom=-1.484 vol_a3_per_fu=240 total_magnetization_mub_per_cell=0.00 final_energy_ev_per_atom=-8.7395 crystal_system=trigonal pbc="T T T"
N -2.013 -1.145 3.651
Nd -2.469 -2.072 1.291
Nd 0.464 -1.549 3.072
N -6.310 -2.468 7.556
N -5.740 -3.996 10.623
N -4.040 -4.851 8.074
Nd -2.005 -3.620 4.363
Nd 0.000 0.000 0.000
N -4.528 -3.223 4.844
N -3.714 -0.290 6.199
Nd -3.877 -2.571 7.137
N -3.226 -1.918 9.430
N -1.444 -2.673 6.717
Zr -4.341 -1.022 4.064
Zr -1.408 -0.499 5.846
Zr -1.872 1.050 2.774

---

Entry 6:
3
Lattice="-3.719 1.003 -4.511 -0.296 -3.376 -0.506 -2.149 1.608 2.130" Properties=species:S:1:pos:R:3 comment="NdZrN, relaxed, DFT PBE" e_form_raw_ev_per_atom=-0.907 e_above_lowest_polymorph_ev_per_atom=0.000 vol_a3_per_fu=60 total_magnetization_mub_per_cell=0.00 final_energy_ev_per_atom=-8.1204 crystal_system=trigonal pbc="T T T"
Zr -2.318 0.159 0.298
Nd -3.736 -0.954 -3.050
N -0.111 0.030 -0.135